# 1
## TlTe2Ir (PBE-GGA)

Data for a geometry-optimized TlTe2Ir structure. Values from VASP.

Values from the calculation:
Total DFT energy (no corrections) in eV/atom: -4.60
Calculated volume in Å³ per atom: 28.2
DOS at the Fermi energy in states/eV/f.u.: 1.08
Spin magnetization in μB per cell: 0.00

```
&SYSTEM
  ibrav = 0, nat = 12, ntyp = 3
/
ATOMIC_SPECIES
Tl 204.38 Tl.upf
Te 127.60 Te.upf
Ir 192.22 Ir.upf
CELL_PARAMETERS angstrom
4.094 0.000 0.000
-2.047 3.546 0.000
0.000 0.000 23.310
ATOMIC_POSITIONS angstrom
Tl 0.000 0.000 0.000
Tl 0.000 2.364 15.540
Tl 2.047 1.182 7.770
Te 0.000 0.000 12.831
Te 0.000 0.000 17.992
Te 0.000 2.364 5.061
Te 0.000 2.364 10.222
Te 2.047 1.182 2.451
Te 2.047 1.182 20.601
Ir 0.000 0.000 3.752
Ir 0.000 2.364 19.292
Ir 2.047 1.182 11.522
```

# 2
## PaGaCu2O8 (PBE-GGA)

Data for a geometry-optimized PaGaCu2O8 structure. Values from VASP.

Values from the calculation:
Total DFT energy (no corrections) in eV/atom: -6.25
Calculated volume in Å³ per atom: 12.7
DOS at the Fermi energy in states/eV/f.u.: 8.50
Spin magnetization in μB per cell: 0.40

```
&SYSTEM
  ibrav = 0, nat = 12, ntyp = 4
/
ATOMIC_SPECIES
Pa 231.04 Pa.upf
Ga 69.72 Ga.upf
Cu 63.55 Cu.upf
O 16.00 O.upf
CELL_PARAMETERS angstrom
-3.491 3.491 3.132
3.491 -3.491 3.132
3.491 3.491 -3.132
ATOMIC_POSITIONS angstrom
Pa 0.000 0.000 0.000
Ga 3.491 0.000 1.566
Cu 0.000 0.000 3.132
Cu 0.000 3.491 1.566
O 2.203 3.491 -1.304
O 1.288 0.000 1.828
O 0.000 2.296 0.136
O 3.491 2.203 1.304
O 0.000 4.685 0.136
O 0.000 1.288 4.437
O -1.195 3.491 2.996
O 1.195 3.491 2.996
```

# 3
## NiSn (PBE-GGA)

Data for a geometry-optimized NiSn structure. Values from VASP.

Values from the calculation:
Calculated volume in Å³ per atom: 16.9
DOS at the Fermi energy in states/eV/f.u.: 0.91
Formation energy from the elements in kJ/mol of formula units: -46
Spin magnetization in μB per cell: 0.00

```
&SYSTEM
  ibrav = 0, nat = 32, ntyp = 2
/
ATOMIC_SPECIES
Ni 58.69 Ni.upf
Sn 118.71 Sn.upf
CELL_PARAMETERS angstrom
5.250 0.000 0.000
0.000 25.012 0.000
0.000 0.000 4.124
ATOMIC_POSITIONS angstrom
Ni 0.000 0.000 0.000
Ni 0.000 12.506 0.000
Ni 0.043 3.582 2.062
Ni 1.191 9.863 0.000
Ni 1.206 6.133 2.062
Ni 1.419 18.640 2.062
Ni 1.434 22.369 0.000
Ni 2.583 16.088 2.062
Ni 2.625 0.000 0.000
Ni 2.625 12.506 0.000
Ni 2.668 8.924 2.062
Ni 3.816 2.643 0.000
Ni 3.831 6.373 2.062
Ni 4.044 18.879 2.062
Ni 4.060 15.149 0.000
Ni 5.208 21.430 2.062
Sn 0.055 8.492 2.062
Sn 0.190 19.730 0.000
Sn 1.207 2.253 0.000
Sn 1.279 24.050 2.062
Sn 1.346 11.543 2.062
Sn 1.418 14.759 0.000
Sn 2.435 7.223 0.000
Sn 2.571 20.998 2.062
Sn 2.680 4.015 2.062
Sn 2.815 17.789 0.000
Sn 3.832 10.253 0.000
Sn 3.904 13.469 2.062
Sn 3.972 0.963 2.062
Sn 4.043 22.759 0.000
Sn 5.060 5.283 0.000
Sn 5.196 16.521 2.062
```

# 4
## Pm7RuI12 (PBE-GGA)

Data for a geometry-optimized Pm7RuI12 structure. Values from VASP.

Values from the calculation:
Total DFT energy (no corrections) in eV/atom: -4.29
Calculated volume in Å³ per atom: 41.6
DOS at the Fermi energy in states/eV/f.u.: 12.64
Spin magnetization in μB per cell: 1.33

```
&SYSTEM
  ibrav = 0, nat = 20, ntyp = 3
/
ATOMIC_SPECIES
Pm 145.00 Pm.upf
Ru 101.07 Ru.upf
I 126.90 I.upf
CELL_PARAMETERS angstrom
8.034 4.638 3.725
-8.034 4.638 3.725
0.000 -9.277 3.725
ATOMIC_POSITIONS angstrom
Pm 0.000 0.000 0.000
Pm -1.629 -1.623 4.031
Pm -0.591 2.222 4.031
Pm 2.220 -0.599 4.031
Pm -2.220 0.599 7.144
Pm 0.591 -2.222 7.144
Pm 1.629 1.623 7.144
Ru 0.000 0.000 5.588
I -2.441 0.673 1.835
I 0.638 -2.451 1.835
I -4.393 -1.113 5.505
I -1.233 -4.360 5.670
I 1.803 1.778 1.835
I -3.160 3.248 5.670
I 3.160 -3.248 5.505
I -1.803 -1.778 9.340
I 1.233 4.360 5.505
I 4.393 1.113 5.670
I -0.638 2.451 9.340
I 2.441 -0.673 9.340
```

Question: Which formula does entry 1 have?
Answer: TlTe2Ir

Question: What is the formula in the third record?
Answer: NiSn

Question: Among the records above, which one has the highest calculated volume?
Answer: Pm7RuI12